No. 1
NaYFe2F: optimized geometry, PBE with a Hubbard U.

The calculation puts the density of states at the Fermi level at 1.67 states/eV/f.u. The value obtained for the energy is -15.63 eV per cell.

The structure belongs to space group P4/mmm (No. 123); the cell edges are 5.134, 5.134 and 8.201 Å and the angles 90.00°, 90.00° and 90.00°. The inequivalent atoms are Na at (0.000, 0.000, 0.000), Y at (0.000, 0.000, 0.500), Fe at (0.000, 0.500, 0.500) and F at (0.500, 0.500, 0.000).



No. 2
Na2ZnFeF6: optimized geometry, PBE with a Hubbard U.

The calculation puts the density of states at the Fermi level at 0.00 states/eV/f.u. The value obtained for the energy is -92.56 eV per cell.

The structure belongs to space group P2_1/c (No. 14); the cell edges are 5.522, 5.744 and 9.608 Å and the angles 90.00°, 125.03° and 90.00°. The inequivalent atoms are Na at (0.233, 0.059, 0.251), Zn at (0.500, 0.000, 0.000), Fe at (0.000, 0.000, 0.500), F at (0.141, 0.194, 0.941), F at (0.255, 0.702, 0.944) and F at (0.359, 0.041, 0.747).



No. 3
Nb2FeF: optimized geometry, PBE with a Hubbard U.

The calculation puts the density of states at the Fermi level at 2.09 states/eV/f.u. The value obtained for the energy is -97.38 eV per cell. The value obtained for the excess energy over the best structure of this formula in the dataset is 528 meV per atom.

The structure belongs to space group I-42d (No. 122); the cell edges are 4.671, 4.671 and 12.241 Å and the angles 90.00°, 90.00° and 90.00°. The inequivalent atoms are Nb at (0.227, 0.250, 0.125), Fe at (0.000, 0.000, 0.500) and F at (0.000, 0.000, 0.000).



No. 4
NbFe3F: optimized geometry, PBE with a Hubbard U.

The calculation puts the density of states at the Fermi level at 3.90 states/eV/f.u. The value obtained for the energy is -27.09 eV per cell. The value obtained for the excess energy over the best structure of this formula in the dataset is 0 meV per atom.

The structure belongs to space group Pm-3m (No. 221); the cell edges are 4.323, 4.323 and 4.323 Å and the angles 90.00°, 90.00° and 90.00°. The inequivalent atoms are Nb at (0.000, 0.000, 0.000), Fe at (0.000, 0.500, 0.500) and F at (0.500, 0.500, 0.500).



- Which value of energy does entry 3 give?
  -97.38 eV per cell



- The lowest energy belongs to which entry?
  Nb2FeF



- Among the records above, which one has the highest energy?
  NaYFe2F